Record 1
Below is an optimized crystal structure of PrZn4Cu2, with properties calculated at the PBE-GGA level.

Lattice parameters (Å, degrees): 4.198 7.485 7.485 90.00 90.00 90.00
Fractional coordinates of all 14 atoms:
Pr1 0.500 0.000 0.000
Pr2 0.000 0.500 0.500
Zn1 0.000 0.090 0.345
Zn2 0.000 0.910 0.655
Zn3 0.500 0.155 0.590
Zn4 0.500 0.845 0.410
Zn5 0.500 0.410 0.845
Zn6 0.500 0.590 0.155
Zn7 0.000 0.345 0.090
Zn8 0.000 0.655 0.910
Cu1 0.000 0.218 0.782
Cu2 0.000 0.782 0.218
Cu3 0.500 0.718 0.718
Cu4 0.500 0.282 0.282

Properties
symmetry	P4_2/mnm, No. 136
formation energy from the elements	-222.9	meV/atom
final energy	-2.804	eV/atom

Record 2
Below is an optimized crystal structure of MgSbIr2, with properties calculated at the PBE-GGA level.

Lattice parameters (Å, degrees): 7.275 7.275 5.900 51.94 51.94 90.00
Fractional coordinates of all 8 atoms:
Sb1 0.000 0.000 0.000
Sb2 0.750 0.250 0.500
Mg1 0.500 0.500 0.000
Mg2 0.250 0.750 0.500
Ir1 0.652 0.125 0.250
Ir2 0.098 0.625 0.250
Ir3 0.375 0.348 0.750
Ir4 0.875 0.902 0.750

Properties
formation energy from raw total energies	0.297	eV per atom
symmetry	I-42d, No. 122
final energy	-5.563	eV/atom

Record 3
Below is an optimized crystal structure of Li2ZnSe, with properties calculated at the PBE-GGA level.

Lattice parameters (Å, degrees): 3.604 3.187 6.721 61.59 90.00 90.00
Fractional coordinates of all 4 atoms:
Li1 0.000 0.971 0.028
Li2 0.000 0.529 0.472
Se1 0.500 0.250 0.250
Zn1 0.500 0.750 0.750

Properties
formation energy from raw total energies	-0.516	eV per atom
symmetry	P2/m, No. 10
final energy	-2.662	eV/atom

Record 4
Below is an optimized crystal structure of MgScBe2, with properties calculated at the PBE-GGA level.

Lattice parameters (Å, degrees): 5.264 5.264 4.447 64.85 64.85 33.82
Fractional coordinates of all 4 atoms:
Sc1 0.269 0.269 0.232
Be1 0.040 0.040 0.959
Be2 0.711 0.711 0.790
Mg1 0.480 0.480 0.519

Properties
symmetry	Cm, No. 8
formation energy from the elements	191.5	meV/atom
final energy	-3.653	eV/atom

Record 5
Below is an optimized crystal structure of TlNi4Bi12, with properties calculated at the PBE-GGA level.

Lattice parameters (Å, degrees): 8.423 8.423 8.423 109.47 109.47 109.47
Fractional coordinates of all 17 atoms:
Tl1 0.000 0.000 0.000
Ni1 0.000 0.500 0.000
Ni2 0.500 0.000 0.000
Ni3 0.500 0.500 0.500
Ni4 0.000 0.000 0.500
Bi1 0.836 0.332 0.168
Bi2 0.332 0.496 0.164
Bi3 0.832 0.164 0.668
Bi4 0.332 0.168 0.836
Bi5 0.168 0.836 0.332
Bi6 0.668 0.504 0.836
Bi7 0.496 0.164 0.332
Bi8 0.504 0.836 0.668
Bi9 0.668 0.832 0.164
Bi10 0.836 0.668 0.504
Bi11 0.164 0.332 0.496
Bi12 0.164 0.668 0.832

Properties
symmetry	Im-3, No. 204
formation energy from the elements	-18.7	meV/atom
final energy	-4.258	eV/atom

Record 6
Below is an optimized crystal structure of TaTc3C, with properties calculated at the PBE-GGA level.

Lattice parameters (Å, degrees): 4.095 4.095 4.095 90.00 90.00 90.00
Fractional coordinates of all 5 atoms:
C1 0.000 0.000 0.000
Tc1 0.000 0.500 0.000
Tc2 0.000 0.000 0.500
Tc3 0.500 0.000 0.000
Ta1 0.500 0.500 0.500

Properties
symmetry	Pm-3m, No. 221
formation energy from the elements	-124.2	meV/atom
final energy	-10.559	eV/atom

no.,magnetic moment (μB/atom)
1,0.000
2,0.000
3,0.000
4,0.000
5,0.000
6,0.000